Here is Mg2SnIr2 after structural relaxation from Alexandria. Energies are from PBE.

abc: 4.224 5.736 7.652
angles: 90.00 90.00 90.00
Space group Immm (No. 71)
One atom of each set of equivalent atoms:
Mg  0.000  0.000  0.196 x4
Sn  0.000  0.500  0.000 x2
Ir  0.000  0.278  0.500 x4

Results
- Crystal system: orthorhombic
- Formation enthalpy at 0 K: -7.98 kcal/mol of atoms

Here is Pr2AlZn4Ge3 after structural relaxation from Alexandria. Energies are from PBE.

abc: 4.276 4.276 10.792
angles: 90.00 90.00 90.00
Space group P-4m2 (No. 115)
One atom of each set of equivalent atoms:
Pr  0.000  0.500  0.250 x2
Al  0.000  0.000  0.500 x1
Zn  0.000  0.000  0.000 x1
Zn  0.000  0.500  0.635 x2
Zn  0.500  0.500  0.000 x1
Ge  0.000  0.500  0.863 x2
Ge  0.500  0.500  0.500 x1

Results
- Crystal system: tetragonal
- Formation enthalpy at 0 K: -9.44 kcal/mol of atoms

Here is SrSn2I after structural relaxation from Alexandria. Energies are from PBE.

abc: 8.148 8.148 8.148
angles: 90.00 90.00 90.00
Space group Fm-3m (No. 225)
One atom of each set of equivalent atoms:
Sr  0.000  0.000  0.000 x4
Sn  0.250  0.250  0.250 x8
I  0.000  0.000  0.500 x4

Results
- Crystal system: cubic
- Polymorph energy (0 for the lowest one): 0.118 eV per atom

Here is TbY6Sc3 after structural relaxation from Alexandria. Energies are from PBE.

abc: 9.438 20.377 6.267
angles: 90.00 90.00 90.00
Space group Cmc2_1 (No. 36)
One atom of each set of equivalent atoms:
Tb  0.000  0.158  0.000 x4
Y  0.000  0.015  0.776 x4
Y  0.000  0.302  0.775 x4
Y  0.178  0.282  0.310 x8
Y  0.179  0.443  0.567 x8
Sc  0.000  0.416  0.088 x4
Sc  0.167  0.127  0.470 x8

Results
- Crystal system: orthorhombic
- Polymorph energy (0 for the lowest one): 0.000 eV per atom
- Formation enthalpy at 0 K: 2.90 kcal/mol of atoms

Here is EuTmCuHg after structural relaxation from Alexandria. Energies are from PBE.

abc: 7.326 7.326 7.326
angles: 90.00 90.00 90.00
Space group F-43m (No. 216)
One atom of each set of equivalent atoms:
Eu  0.000  0.000  0.000 x4
Tm  0.000  0.000  0.500 x4
Cu  0.250  0.250  0.750 x4
Hg  0.250  0.250  0.250 x4

Results
- Crystal system: cubic
- Formation enthalpy at 0 K: -6.21 kcal/mol of atoms

Here is NaCaUCl6 after structural relaxation from Alexandria. Energies are from PBE.

abc: 7.1110 7.1110 12.4695
angles: 90.00 90.00 120.00
Space group P-31c (No. 163)
One atom of each set of equivalent atoms:
Na  0.0000  0.0000  0.0000 x2
Ca  0.3333  0.6667  0.2500 x2
U  0.3333  0.6667  0.7500 x2
Cl  0.0006  0.3481  0.1298 x12

Results
- Crystal system: trigonal

Here is Tb3Pu4N8 after structural relaxation from Alexandria. Energies are from PBE.

abc: 9.785 9.837 6.926
angles: 90.00 134.80 90.00
Space group C2/m (No. 12)
One atom of each set of equivalent atoms:
Tb  0.000  0.000  0.000 x2
Tb  0.250  0.250  0.000 x4
Pu  0.000  0.000  0.500 x2
Pu  0.000  0.500  0.000 x2
Pu  0.250  0.250  0.500 x4
N  0.000  0.224  0.500 x4
N  0.000  0.251  0.000 x4
N  0.229  0.000  0.945 x4
N  0.231  0.000  0.507 x4

Results
- Crystal system: monoclinic

Here is K2CuI2F2 after structural relaxation from Alexandria. Energies are from PBE.

abc: 5.220 5.220 7.630
angles: 90.00 90.00 90.00
Space group P4/mmm (No. 123)
One atom of each set of equivalent atoms:
K  0.000  0.500  0.000 x2
Cu  0.000  0.000  0.500 x1
I  0.000  0.500  0.500 x2
F  0.000  0.000  0.000 x1
F  0.500  0.500  0.000 x1

Results
- Crystal system: tetragonal
- Polymorph energy (0 for the lowest one): 0.048 eV per atom

Here is AlTlTe2 after structural relaxation from Alexandria. Energies are from PBE.

abc: 4.108 23.377 5.286
angles: 90.00 90.00 90.00
Space group Cmcm (No. 63)
One atom of each set of equivalent atoms:
Al  0.000  0.036  0.250 x4
Tl  0.000  0.447  0.250 x4
Te  0.000  0.247  0.250 x4
Te  0.000  0.381  0.750 x4

Results
- Crystal system: orthorhombic

Here is AsRuRhBr2 after structural relaxation from Alexandria. Energies are from PBE.

abc: 5.143 5.143 4.609
angles: 90.00 90.00 90.00
Space group P4/mmm (No. 123)
One atom of each set of equivalent atoms:
As  0.000  0.000  0.000 x1
Ru  0.000  0.000  0.500 x1
Rh  0.500  0.500  0.000 x1
Br  0.000  0.500  0.500 x2

Results
- Crystal system: tetragonal
- Polymorph energy (0 for the lowest one): 0.000 eV per atom

The evaluated E for the records listed, in turn: -53.289, -36.345, -45.515, -244.607, -80.882, -86.184, -313.394, -23.219, -47.433, -20.223 eV/cell.